A plane-wave DFT calculation with PBE+U was carried out for a relaxed structure of FeClF3.

Calculated values
Its excess energy over the best structure of this formula in the dataset is 1.4958 eV/atom. Its space group is Pm-3m (221).

Geometry as POSCAR:
```
FeClF3
1.0
-2.4489 -3.5618 -0.6153
1.3448 -0.2080 -4.1485
3.3550 -2.5165 1.2138
F Fe Cl
3 1 1
direct
0.0000 0.5000 0.0000
0.0000 0.0000 0.5000
0.5000 0.0000 0.0000
0.5000 0.5000 0.5000
0.0000 0.0000 0.0000
```